No. 1
Density functional theory data (PBE-GGA) for crystalline Li2ErCd3 at its relaxed geometry.

Values from the calculation:
Total magnetic moment in μB per formula unit: 0.0
ΔE_f in eV/atom: -0.23
DOS(E_F) in states/eV/f.u.: 1.9
Offset from the most stable computed form in meV per atom: 41

```
Li2ErCd3
1.0
4.735 0.000 0.000
-2.368 4.101 0.000
0.000 0.000 13.194
Li Cd Er
4 6 2
direct
0.667 0.333 0.080
0.333 0.667 0.920
0.333 0.667 0.580
0.667 0.333 0.420
0.667 0.333 0.869
0.000 0.000 0.000
0.333 0.667 0.131
0.333 0.667 0.369
0.000 0.000 0.500
0.667 0.333 0.631
0.000 0.000 0.750
0.000 0.000 0.250
```

No. 2
Density functional theory data (PBE-GGA) for crystalline Ac4Si3Pt at its relaxed geometry.

Values from the calculation:
Formation energy (no corrections) in eV per atom: -0.69
Total magnetic moment in μB per formula unit: 0.1
DOS(E_F) in states/eV/f.u.: 8.3

```
Ac4Si3Pt
1.0
-3.886 0.629 2.400
-2.231 -1.689 -3.170
1.241 -10.641 4.797
Si Ac Pt
3 4 1
direct
0.000 0.000 0.437
0.500 0.000 0.938
0.000 0.500 0.563
0.000 0.500 0.860
0.000 0.000 0.137
0.500 0.000 0.643
0.500 0.500 0.356
0.500 0.500 0.066
```

No. 3
Density functional theory data (PBE-GGA) for crystalline Y3ReH at its relaxed geometry.

Values from the calculation:
Total magnetic moment in μB per formula unit: 0.1
DOS(E_F) in states/eV/f.u.: 8.5
Offset from the most stable computed form in meV per atom: 0

```
Y3ReH
1.0
4.663 0.000 0.000
0.000 4.663 0.000
0.000 0.000 4.663
Y Re H
3 1 1
direct
0.000 0.000 0.500
0.000 0.500 0.000
0.500 0.000 0.000
0.500 0.500 0.500
0.000 0.000 0.000
```

No. 4
Density functional theory data (PBE-GGA) for crystalline Ce3CuN at its relaxed geometry.

Values from the calculation:
Formation energy (no corrections) in eV per atom: -0.48
Total magnetic moment in μB per formula unit: 1.9
DOS(E_F) in states/eV/f.u.: 10.8

```
Ce3CuN
1.0
4.806 0.000 0.000
0.000 4.806 0.000
0.000 0.000 4.806
Ce Cu N
3 1 1
direct
0.000 0.000 0.500
0.000 0.500 0.000
0.500 0.000 0.000
0.500 0.500 0.500
0.000 0.000 0.000
```

No. 5
Density functional theory data (PBE-GGA) for crystalline KAuO3 at its relaxed geometry.

Values from the calculation:
Formation energy (no corrections) in eV per atom: -0.15
Total magnetic moment in μB per formula unit: 0.0
DOS(E_F) in states/eV/f.u.: 1.6

```
KAuO3
1.0
7.116 0.000 0.000
0.000 7.130 0.000
0.000 0.000 6.495
Au O K
4 12 4
direct
0.055 0.950 0.250
0.555 0.550 0.250
0.945 0.050 0.750
0.445 0.450 0.750
0.894 0.116 0.056
0.606 0.616 0.556
0.261 0.772 0.250
0.106 0.884 0.556
0.106 0.884 0.944
0.239 0.272 0.750
0.394 0.384 0.444
0.739 0.228 0.750
0.894 0.116 0.444
0.606 0.616 0.944
0.761 0.728 0.250
0.394 0.384 0.056
0.500 0.000 0.000
0.000 0.500 0.500
0.000 0.500 0.000
0.500 0.000 0.500
```

No. 6
Density functional theory data (PBE-GGA) for crystalline ReW at its relaxed geometry.

Values from the calculation:
Total magnetic moment in μB per formula unit: 0.0
ΔE_f in eV/atom: 0.27
DOS(E_F) in states/eV/f.u.: 2.2
Offset from the most stable computed form in meV per atom: 177

```
ReW
1.0
-0.005 -2.533 -1.205
4.360 0.744 -1.581
1.774 -1.905 3.996
W Re
2 2
direct
0.500 0.000 0.499
0.000 0.500 0.334
0.500 0.500 0.837
0.000 0.000 0.996
```

No. 7
Density functional theory data (PBE-GGA) for crystalline Pr8NiGe3I4 at its relaxed geometry.

Values from the calculation:
Formation energy (no corrections) in eV per atom: -0.91
Total magnetic moment in μB per formula unit: 0.0
DOS(E_F) in states/eV/f.u.: 12.6

```
Pr8NiGe3I4
1.0
8.737 0.000 0.000
0.000 9.227 0.343
-4.369 -4.367 6.181
Pr Ge Ni I
8 3 1 4
direct
0.226 0.696 0.971
0.774 0.304 0.549
0.255 0.304 0.029
0.265 0.296 0.531
0.735 0.704 0.469
0.745 0.696 0.971
0.774 0.304 0.029
0.226 0.696 0.451
0.500 0.500 0.500
0.500 0.500 0.000
0.000 0.500 0.500
0.000 0.500 0.000
0.000 0.000 0.500
0.000 0.000 0.000
0.500 0.000 0.500
0.500 0.000 0.000
```

No. 8
Density functional theory data (PBE-GGA) for crystalline SiHg at its relaxed geometry.

Values from the calculation:
Formation energy (no corrections) in eV per atom: 0.34
Total magnetic moment in μB per formula unit: 0.0
DOS(E_F) in states/eV/f.u.: 0.3
Offset from the most stable computed form in meV per atom: 190

```
SiHg
1.0
-3.630 0.783 -1.182
2.737 -0.943 -2.608
-4.135 -16.642 1.679
Si Hg
4 4
direct
0.000 0.000 0.750
0.000 0.000 0.250
0.333 0.667 0.750
0.667 0.333 0.250
0.333 0.667 0.074
0.667 0.333 0.574
0.667 0.333 0.926
0.333 0.667 0.426
```